! FeReRuPt2 | Alexandria via LeMat-Bulk | PBE | optimized geometry; values from VASP
&SYSTEM
  ibrav = 0, nat = 5, ntyp = 4
/
ATOMIC_SPECIES
Re 186.21 Re.upf
Fe 55.84 Fe.upf
Pt 195.08 Pt.upf
Ru 101.07 Ru.upf
CELL_PARAMETERS angstrom
-1.345 4.094 2.187
-0.140 -2.207 4.046
4.639 1.114 0.769
ATOMIC_POSITIONS angstrom
Re 0.000 0.000 0.000
Fe 1.577 1.500 3.501
Pt 2.320 0.557 0.384
Pt -0.673 2.047 1.094
Ru -0.070 -1.104 2.023
! formation enthalpy at 0 K: 1.565 eV per atom

! GdSnSb2 | Alexandria via LeMat-Bulk | PBE | optimized geometry; values from VASP
&SYSTEM
  ibrav = 0, nat = 4, ntyp = 3
/
ATOMIC_SPECIES
Sb 121.76 Sb.upf
Gd 157.25 Gd.upf
Sn 118.71 Sn.upf
CELL_PARAMETERS angstrom
-0.985 4.036 0.403
-2.437 -0.920 3.261
4.928 0.812 3.912
ATOMIC_POSITIONS angstrom
Sb 3.662 0.604 2.907
Sb 1.266 0.209 1.005
Gd 0.753 1.964 3.788
Sn -1.711 1.558 1.832
! formation energy from raw total energies: -0.49 eV per atom
! energy above the most stable polymorph in this dataset: 0 meV per atom

Which formula does entry 1 have? FeReRuPt2